5
Lattice="4.775 0.000 0.000 0.000 4.808 0.000 0.000 0.000 4.775" Properties=species:S:1:pos:R:3 comment="ScBiRuRh2, optimized geometry, DFT PBE" formation_enthalpy_0k_ev_per_atom=0.508 magmom_total_mub_per_cell=0.0 total_energy_ev_per_atom=-6.33 crystal_system=tetragonal n_ef_per_ev_atom=1.27 pbc="T T T"
Ru 0.000 0.000 0.000
Bi 2.387 2.404 2.387
Sc 0.000 2.404 0.000
Rh 2.387 0.000 0.000
Rh 0.000 0.000 2.387

=====

5
Lattice="4.971 0.000 0.000 0.000 5.665 0.000 0.000 0.000 4.971" Properties=species:S:1:pos:R:3 comment="ScReBiAs2, optimized geometry, DFT PBE" formation_enthalpy_0k_ev_per_atom=1.233 magmom_total_mub_per_cell=4.0 total_energy_ev_per_atom=-5.16 crystal_system=tetragonal n_ef_per_ev_atom=0.66 pbc="T T T"
Sc 0.000 0.000 0.000
As 0.000 0.000 2.486
As 2.486 0.000 0.000
Re 2.486 2.832 2.486
Bi 0.000 2.832 0.000

=====

8
Lattice="5.366 0.000 0.000 2.683 4.647 0.000 2.683 1.549 8.828" Properties=species:S:1:pos:R:3 comment="CaNdHo2In4, optimized geometry, DFT PBE" formation_enthalpy_0k_ev_per_atom=-0.458 magmom_total_mub_per_cell=0.0 total_energy_ev_per_atom=-3.82 crystal_system=trigonal n_ef_per_ev_atom=0.54 pbc="T T T"
In 2.683 1.549 5.507
In 5.366 3.098 7.715
In 5.366 3.098 1.113
In 8.049 4.647 3.321
Ho 2.683 1.549 2.253
Ho 8.049 4.647 6.575
Nd 0.000 0.000 0.000
Ca 5.366 3.098 4.414

=====

5
Lattice="-0.484 4.392 -0.084 -4.336 -0.491 -0.702 -1.137 0.009 7.014" Properties=species:S:1:pos:R:3 comment="CsCSN2, optimized geometry, DFT PBE" e_form_raw_ev_per_atom=3.7755 magmom_total_mub_per_cell=2.7 total_energy_ev_per_atom=-2.40 crystal_system=tetragonal n_ef_per_ev_atom=1.09 pbc="T T T"
C -2.978 1.955 3.114
N -0.242 2.196 -0.042
N -2.168 -0.245 -0.351
S -0.569 0.004 3.507
Cs 0.000 0.000 0.000

=====

4
Lattice="4.067 0.000 0.000 0.000 4.067 0.000 0.000 0.000 4.067" Properties=species:S:1:pos:R:3 comment="Mn3Br, optimized geometry, DFT PBE" e_form_raw_ev_per_atom=0.7659 magmom_total_mub_per_cell=11.7 total_energy_ev_per_atom=-6.53 crystal_system=cubic n_ef_per_ev_atom=1.10 polymorph_energy_ev_per_atom=0.4315 pbc="T T T"
Mn 2.033 0.000 2.033
Mn 2.033 2.033 0.000
Mn 0.000 2.033 2.033
Br 0.000 0.000 0.000

=====

4
Lattice="8.186 -0.004 -0.002 7.543 3.179 -0.002 7.543 1.523 2.791" Properties=species:S:1:pos:R:3 comment="CaScCo2, optimized geometry, DFT PBE" formation_enthalpy_0k_ev_per_atom=0.380 magmom_total_mub_per_cell=1.5 total_energy_ev_per_atom=-5.26 crystal_system=trigonal n_ef_per_ev_atom=0.83 polymorph_energy_ev_per_atom=0.3795 pbc="T T T"
Sc 5.818 1.174 0.696
Co 23.103 4.663 2.765
Co 11.806 2.383 1.413
Ca 17.454 3.523 2.089

=====

18
Lattice="-1.871 -5.564 -2.195 5.463 0.388 -3.045 3.879 -2.499 15.980" Properties=species:S:1:pos:R:3 comment="Nd6Ho2Cd, optimized geometry, DFT PBE" formation_enthalpy_0k_ev_per_atom=0.057 magmom_total_mub_per_cell=0.0 total_energy_ev_per_atom=-4.24 crystal_system=monoclinic n_ef_per_ev_atom=1.23 polymorph_energy_ev_per_atom=0.0692 pbc="T T T"
Ho 4.666 -4.661 7.843
Ho 4.716 -4.288 10.890
Ho 2.806 -3.014 2.896
Ho 2.756 -3.387 -0.150
Nd 3.381 -2.090 5.994
Nd 3.336 -3.374 -3.382
Nd 2.035 -6.874 7.725
Nd 2.068 -6.358 11.620
Nd 6.900 -2.227 12.646
Nd 5.404 -1.317 -0.880
Nd 4.091 -5.585 4.745
Nd 6.851 -3.176 5.581
Nd 5.437 -0.801 3.015
Nd 4.136 -4.301 14.122
Nd 0.621 -4.499 5.159
Nd 0.572 -5.447 -1.906
Cd 0.371 -5.156 1.652
Cd 7.101 -2.519 9.087

=====

4
Lattice="1.788 0.000 12.086 -0.894 1.549 12.086 -0.894 -1.549 12.086" Properties=species:S:1:pos:R:3 comment="CdTe2Ir, optimized geometry, DFT PBE" e_form_raw_ev_per_atom=0.3687 magmom_total_mub_per_cell=0.0 total_energy_ev_per_atom=-3.65 crystal_system=trigonal n_ef_per_ev_atom=0.72 pbc="T T T"
Te 0.000 0.000 33.692
Te 0.000 0.000 2.567
Ir 0.000 0.000 0.000
Cd 0.000 0.000 18.129

=====

12
Lattice="-2.264 -0.324 2.445 -1.975 -4.144 -2.379 6.557 -6.143 5.257" Properties=species:S:1:pos:R:3 comment="ZrO, optimized geometry, DFT PBE" e_form_raw_ev_per_atom=-2.4490 magmom_total_mub_per_cell=0.0 total_energy_ev_per_atom=-9.20 crystal_system=orthorhombic n_ef_per_ev_atom=0.35 pbc="T T T"
Zr 3.835 -8.012 2.489
Zr 1.931 -5.898 1.006
Zr -0.190 -4.240 -0.739
Zr -1.760 -1.479 0.466
Zr 2.893 -5.509 4.240
Zr 0.361 -3.137 2.210
O 2.551 -9.579 3.384
O 2.361 -2.240 1.889
O 4.177 -3.942 3.345
O -1.200 -2.517 -1.445
O 1.371 -4.860 2.917
O -2.190 -5.137 -0.417

=====

10
Lattice="3.855 0.000 0.000 0.000 9.962 -0.097 0.000 -0.010 9.962" Properties=species:S:1:pos:R:3 comment="Ac3Nd3Sm4, optimized geometry, DFT PBE" formation_enthalpy_0k_ev_per_atom=0.080 magmom_total_mub_per_cell=0.0 total_energy_ev_per_atom=-4.47 crystal_system=orthorhombic n_ef_per_ev_atom=1.24 pbc="T T T"
Sm 0.000 1.159 1.307
Sm 0.000 3.817 6.101
Sm 0.000 8.635 8.717
Sm 0.000 6.228 3.669
Ac 0.000 4.992 9.911
Ac 1.928 1.721 8.216
Ac 0.000 -0.002 4.960
Nd 1.928 6.728 6.614
Nd 1.928 8.217 1.663
Nd 1.928 3.279 3.195

=====

12
Lattice="5.699 0.000 1.696 2.597 5.073 1.696 0.092 0.056 10.113" Properties=species:S:1:pos:R:3 comment="CeDy2Cd9, optimized geometry, DFT PBE" formation_enthalpy_0k_ev_per_atom=-0.198 magmom_total_mub_per_cell=1.2 total_energy_ev_per_atom=-2.15 crystal_system=trigonal n_ef_per_ev_atom=1.23 pbc="T T T"
Cd 4.758 4.694 4.859
Cd 2.872 1.756 11.197
Cd 2.042 3.033 8.647
Cd 4.961 3.033 9.515
Cd 6.347 2.096 4.859
Cd 4.194 2.565 6.753
Cd 5.517 3.374 2.308
Cd 3.631 0.435 8.647
Cd 3.428 2.096 3.990
Ce 0.000 0.000 0.000
Dy 1.232 0.754 6.282
Dy 7.157 4.376 7.223

=====

4
Lattice="3.944 0.000 0.000 0.000 3.944 0.000 0.000 0.000 4.294" Properties=species:S:1:pos:R:3 comment="Cd2FeTc, optimized geometry, DFT PBE" formation_enthalpy_0k_ev_per_atom=0.438 magmom_total_mub_per_cell=3.6 total_energy_ev_per_atom=-4.73 crystal_system=tetragonal n_ef_per_ev_atom=0.66 polymorph_energy_ev_per_atom=0.2451 pbc="T T T"
Fe 1.972 0.000 2.147
Cd 0.000 0.000 0.000
Cd 1.972 1.972 0.000
Tc 0.000 1.972 2.147